Record 1
Entry from the Open Quantum Materials Database: a relaxed structure of InSnAu (PBE-GGA).

a = 7.900 Å, b = 4.250 Å, c = 8.664 Å
α = 90.00°, β = 90.00°, γ = 90.00°
Element x y z (fractional)
Sn 0.639 0.750 0.461
Sn 0.361 0.250 0.539
Sn 0.139 0.750 0.039
Sn 0.861 0.250 0.961
Au 0.211 0.750 0.356
Au 0.789 0.250 0.644
Au 0.289 0.250 0.856
Au 0.711 0.750 0.144
In 0.549 0.750 0.835
In 0.049 0.750 0.665
In 0.951 0.250 0.335
In 0.451 0.250 0.165

Computed properties:
* calculated total energy: -3.46 eV per atom
* symmetry: Pnma (62)

=====

Record 2
Entry from the Open Quantum Materials Database: a relaxed structure of ZrCuBPd (PBE-GGA).

a = 4.302 Å, b = 4.302 Å, c = 4.302 Å
α = 60.00°, β = 60.00°, γ = 60.00°
Element x y z (fractional)
Pd 0.250 0.250 0.250
Zr 0.500 0.500 0.500
Cu 0.750 0.750 0.750
B 0.000 0.000 0.000

Computed properties:
* energy relative to the lowest polymorph listed for this composition: 251 meV per atom
* symmetry: F-43m (216)
* size of the total moment: 0.000 Bohr magnetons per cell

=====

Record 3
Entry from the Open Quantum Materials Database: a relaxed structure of SrAu2S4O16 (PBE-GGA).

a = 9.217 Å, b = 9.217 Å, c = 10.082 Å
α = 102.82°, β = 102.82°, γ = 116.56°
Element x y z (fractional)
S 0.230 0.620 0.459
S 0.380 0.770 0.041
S 0.146 0.258 0.998
S 0.742 0.854 0.502
S 0.854 0.742 0.002
S 0.258 0.146 0.498
S 0.620 0.230 0.959
S 0.770 0.380 0.541
O 0.604 0.363 0.068
O 0.745 0.324 0.888
O 0.363 0.604 0.568
O 0.863 0.837 0.607
O 0.837 0.863 0.107
O 0.411 0.330 0.603
O 0.637 0.396 0.432
O 0.458 0.106 0.837
O 0.307 0.840 0.950
O 0.894 0.542 0.663
O 0.330 0.411 0.103
O 0.670 0.589 0.897
O 0.195 0.055 0.590
O 0.673 0.943 0.598
O 0.160 0.693 0.550
O 0.676 0.255 0.612
O 0.327 0.057 0.402
O 0.106 0.458 0.337
O 0.589 0.670 0.397
O 0.693 0.160 0.050
O 0.255 0.676 0.112
O 0.945 0.805 0.910
O 0.055 0.195 0.090
O 0.396 0.637 0.932
O 0.805 0.945 0.410
O 0.542 0.894 0.163
O 0.840 0.307 0.450
O 0.057 0.327 0.902
O 0.324 0.745 0.388
O 0.137 0.163 0.393
O 0.163 0.137 0.893
O 0.943 0.673 0.098
Au 0.500 0.500 0.000
Au 0.500 0.000 0.500
Au 0.500 0.500 0.500
Au 0.000 0.500 0.000
Sr 0.869 0.131 0.250
Sr 0.131 0.869 0.750

Computed properties:
* calculated total energy: -5.77 eV per atom
* symmetry: C2/c (15)

=====

Record 4
Entry from the Open Quantum Materials Database: a relaxed structure of Zr5Sb (PBE-GGA).

a = 5.531 Å, b = 5.531 Å, c = 5.153 Å
α = 90.00°, β = 90.00°, γ = 60.00°
Element x y z (fractional)
Zr 0.320 0.680 0.500
Zr 0.680 0.000 0.500
Zr 0.333 0.333 0.000
Zr 0.000 0.320 0.500
Zr 0.667 0.667 0.000
Sb 0.000 0.000 0.000

Computed properties:
* calculated total energy: -8.02 eV per atom
* symmetry: P-62m (189)
* size of the total moment: 0.068 Bohr magnetons per cell

=====

Record 5
Entry from the Open Quantum Materials Database: a relaxed structure of Y3Pd5 (PBE-GGA).

a = 5.818 Å, b = 5.818 Å, c = 9.623 Å
α = 90.00°, β = 90.00°, γ = 75.70°
Element x y z (fractional)
Pd 0.688 0.312 0.454
Pd 0.942 0.504 0.250
Pd 0.688 0.312 0.046
Pd 0.983 0.017 0.250
Pd 0.504 0.942 0.750
Pd 0.312 0.688 0.546
Pd 0.312 0.688 0.954
Pd 0.496 0.058 0.250
Pd 0.017 0.983 0.750
Pd 0.058 0.496 0.750
Y 0.203 0.203 0.500
Y 0.383 0.617 0.250
Y 0.203 0.203 0.000
Y 0.797 0.797 0.000
Y 0.797 0.797 0.500
Y 0.617 0.383 0.750

Computed properties:
* symmetry: Cmcm (63)
* size of the total moment: 0.004 Bohr magnetons per cell
* ΔH_f (0 K): -918 meV/atom

=====

Record 6
Entry from the Open Quantum Materials Database: a relaxed structure of Dy2ErCo7Ni2 (PBE-GGA).

a = 8.633 Å, b = 8.633 Å, c = 8.633 Å
α = 32.97°, β = 32.97°, γ = 32.97°
Element x y z (fractional)
Er 0.000 0.000 0.000
Co 0.500 0.500 0.500
Co 0.080 0.582 0.582
Co 0.418 0.920 0.418
Co 0.920 0.418 0.418
Co 0.418 0.418 0.920
Co 0.582 0.582 0.080
Co 0.582 0.080 0.582
Dy 0.860 0.860 0.860
Dy 0.140 0.140 0.140
Ni 0.334 0.334 0.334
Ni 0.666 0.666 0.666

Computed properties:
* symmetry: R-3m (166)
* size of the total moment: 8.054 Bohr magnetons per cell
* ΔH_f (0 K): -224 meV/atom

=====

Record 7
Entry from the Open Quantum Materials Database: a relaxed structure of GaAg2Se2S (PBE-GGA).

a = 7.211 Å, b = 7.211 Å, c = 7.060 Å
α = 99.55°, β = 99.55°, γ = 120.49°
Element x y z (fractional)
Ga 0.912 0.075 0.996
Ga 0.075 0.912 0.496
Se 0.370 0.885 0.393
Se 0.203 0.054 0.868
Se 0.885 0.370 0.893
Se 0.054 0.203 0.368
Ag 0.760 0.270 0.504
Ag 0.603 0.450 0.018
Ag 0.450 0.603 0.518
Ag 0.270 0.760 0.004
S 0.740 0.572 0.391
S 0.572 0.740 0.891

Computed properties:
* calculated total energy: -3.58 eV per atom
* symmetry: Cc (9)

=====

Record 8
Entry from the Open Quantum Materials Database: a relaxed structure of GdYTlTe3 (PBE-GGA).

a = 7.948 Å, b = 7.948 Å, c = 12.065 Å
α = 90.00°, β = 90.00°, γ = 147.59°
Element x y z (fractional)
Y 0.500 0.500 0.000
Y 0.500 0.500 0.500
Gd 0.933 0.067 0.750
Gd 0.067 0.933 0.250
Tl 0.246 0.754 0.750
Tl 0.754 0.246 0.250
Te 0.566 0.434 0.750
Te 0.143 0.857 0.025
Te 0.434 0.566 0.250
Te 0.857 0.143 0.975
Te 0.857 0.143 0.525
Te 0.143 0.857 0.475

Computed properties:
* energy relative to the lowest polymorph listed for this composition: 8 meV per atom
* symmetry: Cmcm (63)
* size of the total moment: 0.628 Bohr magnetons per cell

=====

Record 9
Entry from the Open Quantum Materials Database: a relaxed structure of K2NdSmGd2 (PBE-GGA).

a = 6.111 Å, b = 6.111 Å, c = 7.145 Å
α = 90.00°, β = 90.00°, γ = 120.00°
Element x y z (fractional)
K 0.667 0.333 0.500
K 0.000 0.000 0.000
Gd 0.333 0.667 0.249
Gd 0.333 0.667 0.751
Nd 0.000 0.000 0.500
Sm 0.667 0.333 0.000

Computed properties:
* calculated total energy: -2.85 eV per atom
* symmetry: P-6m2 (187)
* size of the total moment: 0.006 Bohr magnetons per cell

=====

Record 10
Entry from the Open Quantum Materials Database: a relaxed structure of TbTaS (PBE-GGA).

a = 4.577 Å, b = 4.577 Å, c = 4.577 Å
α = 60.00°, β = 60.00°, γ = 60.00°
Element x y z (fractional)
S 0.750 0.750 0.750
Tb 0.250 0.250 0.250
Ta 0.500 0.500 0.500

Computed properties:
* calculated total energy: -6.01 eV per atom
* symmetry: F-43m (216)
* size of the total moment: 2.131 Bohr magnetons per cell

=====

Record 11
Entry from the Open Quantum Materials Database: a relaxed structure of ZrCdCuGe (PBE-GGA).

a = 4.729 Å, b = 4.729 Å, c = 4.729 Å
α = 60.00°, β = 60.00°, γ = 60.00°
Element x y z (fractional)
Cd 0.250 0.250 0.250
Zr 0.500 0.500 0.500
Ge 0.000 0.000 0.000
Cu 0.750 0.750 0.750

Computed properties:
* energy relative to the lowest polymorph listed for this composition: 152 meV per atom
* symmetry: F-43m (216)
* size of the total moment: 0.000 Bohr magnetons per cell

=====

Record 12
Entry from the Open Quantum Materials Database: a relaxed structure of AgTe2Br (PBE-GGA).

a = 6.868 Å, b = 6.868 Å, c = 4.774 Å
α = 106.36°, β = 106.36°, γ = 35.62°
Element x y z (fractional)
Te 0.820 0.820 0.652
Te 0.989 0.989 0.398
Br 0.642 0.642 0.947
Ag 0.408 0.408 0.025

Computed properties:
* calculated total energy: -2.82 eV per atom
* symmetry: Cm (8)

=====

Record 13
Entry from the Open Quantum Materials Database: a relaxed structure of LiYInCo (PBE-GGA).

a = 4.669 Å, b = 4.669 Å, c = 4.669 Å
α = 60.00°, β = 60.00°, γ = 60.00°
Element x y z (fractional)
Y 0.500 0.500 0.500
Li 0.250 0.250 0.250
In 0.000 0.000 0.000
Co 0.750 0.750 0.750

Computed properties:
* energy relative to the lowest polymorph listed for this composition: 0 meV per atom
* symmetry: F-43m (216)
* size of the total moment: 0.044 Bohr magnetons per cell

=====

Record 14
Entry from the Open Quantum Materials Database: a relaxed structure of TbHo3Sn2C2 (PBE-GGA).

a = 3.611 Å, b = 3.611 Å, c = 15.850 Å
α = 90.00°, β = 90.00°, γ = 120.00°
Element x y z (fractional)
Sn 0.667 0.333 0.251
Sn 0.333 0.667 0.750
Tb 0.333 0.667 0.085
Ho 0.667 0.333 0.915
Ho 0.667 0.333 0.584
Ho 0.333 0.667 0.416
C 0.000 0.000 0.999
C 0.000 0.000 0.500

Computed properties:
* calculated total energy: -6.15 eV per atom
* symmetry: P3m1 (156)
* size of the total moment: 0.029 Bohr magnetons per cell

=====

Record 15
Entry from the Open Quantum Materials Database: a relaxed structure of SmBr (PBE-GGA).

a = 4.693 Å, b = 4.693 Å, c = 4.693 Å
α = 60.00°, β = 60.00°, γ = 60.00°
Element x y z (fractional)
Br 0.000 0.000 0.000
Sm 0.250 0.250 0.250

Computed properties:
* calculated total energy: -3.79 eV per atom
* symmetry: F-43m (216)
* size of the total moment: 0.063 Bohr magnetons per cell

=====

Record 16
Entry from the Open Quantum Materials Database: a relaxed structure of HfTaFeSn (PBE-GGA).

a = 4.635 Å, b = 4.635 Å, c = 4.635 Å
α = 60.00°, β = 60.00°, γ = 60.00°
Element x y z (fractional)
Fe 0.750 0.750 0.750
Hf 0.500 0.500 0.500
Sn 0.000 0.000 0.000
Ta 0.250 0.250 0.250

Computed properties:
* energy relative to the lowest polymorph listed for this composition: 0 meV per atom
* symmetry: F-43m (216)
* size of the total moment: 2.938 Bohr magnetons per cell

=====

Record 17
Entry from the Open Quantum Materials Database: a relaxed structure of NaAgPdO3 (PBE-GGA).

a = 8.576 Å, b = 3.130 Å, c = 11.778 Å
α = 90.00°, β = 90.00°, γ = 90.00°
Element x y z (fractional)
Na 0.860 0.500 0.790
Na 0.140 0.000 0.210
Na 0.360 0.000 0.710
Na 0.640 0.500 0.290
O 0.743 0.500 0.961
O 0.292 0.500 0.833
O 0.792 0.000 0.667
O 0.014 0.000 0.902
O 0.208 0.500 0.333
O 0.243 0.000 0.539
O 0.986 0.500 0.098
O 0.757 0.500 0.461
O 0.514 0.500 0.598
O 0.708 0.000 0.167
O 0.486 0.000 0.402
O 0.257 0.000 0.039
Ag 0.985 0.500 0.400
Ag 0.015 0.000 0.600
Ag 0.515 0.500 0.900
Ag 0.485 0.000 0.100
Pd 0.852 0.000 0.037
Pd 0.648 0.000 0.537
Pd 0.352 0.500 0.463
Pd 0.148 0.500 0.963

Computed properties:
* calculated total energy: -4.63 eV per atom
* symmetry: Pnma (62)

=====

Record 18
Entry from the Open Quantum Materials Database: a relaxed structure of HfBAsO (PBE-GGA).

a = 2.667 Å, b = 7.517 Å, c = 5.857 Å
α = 90.00°, β = 90.00°, γ = 90.00°
Element x y z (fractional)
O 0.500 0.307 0.854
O 0.500 0.693 0.354
Hf 0.500 0.939 0.148
Hf 0.500 0.061 0.648
As 0.000 0.268 0.313
As 0.000 0.732 0.813
B 0.000 0.231 0.939
B 0.000 0.769 0.439

Computed properties:
* energy relative to the lowest polymorph listed for this composition: 114 meV per atom
* symmetry: Pmc2_1 (26)
* size of the total moment: 0.002 Bohr magnetons per cell

=====

Record 19
Entry from the Open Quantum Materials Database: a relaxed structure of ErScGa2Pd4 (PBE-GGA).

a = 4.576 Å, b = 4.576 Å, c = 6.534 Å
α = 90.00°, β = 90.00°, γ = 90.00°
Element x y z (fractional)
Er 0.000 0.000 0.000
Ga 0.500 0.500 0.000
Ga 0.000 0.000 0.500
Pd 0.500 0.000 0.738
Pd 0.500 0.000 0.262
Pd 0.000 0.500 0.738
Pd 0.000 0.500 0.262
Sc 0.500 0.500 0.500

Computed properties:
* energy relative to the lowest polymorph listed for this composition: 20 meV per atom
* symmetry: P4/mmm (123)
* size of the total moment: 0.002 Bohr magnetons per cell

=====

Record 20
Entry from the Open Quantum Materials Database: a relaxed structure of Mg2BeFe (PBE-GGA).

a = 4.353 Å, b = 4.353 Å, c = 4.353 Å
α = 60.00°, β = 60.00°, γ = 60.00°
Element x y z (fractional)
Be 0.500 0.500 0.500
Mg 0.750 0.750 0.750
Mg 0.000 0.000 0.000
Fe 0.250 0.250 0.250

Computed properties:
* calculated total energy: -3.42 eV per atom
* symmetry: F-43m (216)
* size of the total moment: 2.190 Bohr magnetons per cell

=====

Record 21
Entry from the Open Quantum Materials Database: a relaxed structure of HfZrB4 (PBE-GGA).

a = 3.157 Å, b = 3.157 Å, c = 7.032 Å
α = 90.00°, β = 90.00°, γ = 120.00°
Element x y z (fractional)
B 0.667 0.333 0.754
B 0.667 0.333 0.246
B 0.333 0.667 0.754
B 0.333 0.667 0.246
Hf 0.000 0.000 0.000
Zr 0.000 0.000 0.500

Computed properties:
* calculated total energy: -8.54 eV per atom
* symmetry: P6/mmm (191)
* size of the total moment: 0.003 Bohr magnetons per cell

=====

Record 22
Entry from the Open Quantum Materials Database: a relaxed structure of RbCuSiTe3 (PBE-GGA).

a = 9.601 Å, b = 4.104 Å, c = 10.234 Å
α = 90.00°, β = 113.60°, γ = 90.00°
Element x y z (fractional)
Te 0.533 0.250 0.356
Te 0.232 0.750 0.069
Te 0.467 0.750 0.644
Te 0.139 0.250 0.357
Te 0.861 0.750 0.643
Te 0.768 0.250 0.931
Si 0.666 0.250 0.640
Si 0.334 0.750 0.360
Cu 0.061 0.250 0.077
Cu 0.939 0.750 0.923
Rb 0.785 0.750 0.237
Rb 0.215 0.250 0.763

Computed properties:
* energy relative to the lowest polymorph listed for this composition: 0 meV per atom
* symmetry: P2_1/m (11)